(1)
A relaxed Tb2InRu crystal, computed with PBE.

Cell: 7.189 7.189 7.189 Å, 90.00 90.00 90.00°
Space group Fm-3m (No. 225)
Inequivalent atoms, fractional coordinates:
Tb 0.250 0.250 0.250 x8
In 0.000 0.000 0.000 x4
Ru 0.000 0.000 0.500 x4

- Formation energy: -0.322 eV/atom
- Total energy: -5.6408 eV/atom
- Energy above the lowest structure with this stoichiometry: 0.48 eV/f.u.

---

(2)
A relaxed NaAgTe2 crystal, computed with PBE.

Cell: 7.451 7.451 7.451 Å, 90.00 90.00 90.00°
Space group Fm-3m (No. 225)
Inequivalent atoms, fractional coordinates:
Na 0.000 0.000 0.000 x4
Ag 0.000 0.000 0.500 x4
Te 0.250 0.250 0.250 x8

- Total energy: -2.7511 eV/atom
- Energy above the lowest structure with this stoichiometry: 0.83 eV/f.u.
- Formation energy without anion corrections: -0.138 eV per atom

---

(3)
A relaxed Ag2Sb crystal, computed with PBE.

Cell: 3.650 3.650 20.551 Å, 90.00 90.00 90.00°
Space group I4_1/amd (No. 141, origin choice 2)
Inequivalent atoms, fractional coordinates:
Ag 0.000 0.250 0.302 x8
Sb 0.000 0.250 0.875 x4

- Total energy: -3.0364 eV/atom
- Energy above the lowest structure with this stoichiometry: 0.52 eV/f.u.
- Formation energy without anion corrections: 0.239 eV per atom

---

(4)
A relaxed Sn3Ge2Te6 crystal, computed with PBE.

Cell: 4.3015 4.3015 63.4725 Å, 90.00 90.00 120.00°
Space group R-3m (No. 166, hexagonal axes)
Inequivalent atoms, fractional coordinates:
Sn 0.0000 0.0000 0.0000 x3
Sn 0.0000 0.0000 0.2713 x6
Ge 0.0000 0.0000 0.4557 x6
Te 0.0000 0.0000 0.0893 x6
Te 0.0000 0.0000 0.1886 x6
Te 0.0000 0.0000 0.3629 x6

- Total energy: -3.8090 eV/atom
- Formation energy without anion corrections: -0.164 eV per atom

---

(5)
A relaxed LiCaAcGa2 crystal, computed with PBE.

Cell: 5.904 6.674 6.531 Å, 90.00 90.00 90.00°
Space group Pmma (No. 51)
Inequivalent atoms, fractional coordinates:
Li 0.000 0.000 0.000 x2
Ca 0.250 0.000 0.414 x2
Ac 0.250 0.500 0.253 x2
Ga 0.250 0.280 0.774 x4

- Formation energy: -0.255 eV/atom
- Total energy: -3.0708 eV/atom

---

(6)
A relaxed Sr2TlBiH crystal, computed with PBE.

Cell: 5.459 5.459 4.767 Å, 90.00 90.00 90.00°
Space group P4/mmm (No. 123)
Inequivalent atoms, fractional coordinates:
Sr 0.000 0.500 0.000 x2
Tl 0.000 0.000 0.500 x1
Bi 0.500 0.500 0.500 x1
H 0.000 0.000 0.000 x1

- Total energy: -3.0573 eV/atom

---

(7)
A relaxed KTlInAg crystal, computed with PBE.

Cell: 7.640 7.640 7.640 Å, 90.00 90.00 90.00°
Space group F-43m (No. 216)
Inequivalent atoms, fractional coordinates:
K 0.000 0.000 0.000 x4
Tl 0.250 0.250 0.750 x4
In 0.000 0.000 0.500 x4
Ag 0.250 0.250 0.250 x4

- Formation energy: 0.046 eV/atom
- Total energy: -2.2173 eV/atom
- Energy above the lowest structure with this stoichiometry: 0.38 eV/f.u.

---

(8)
A relaxed CsMg3Rh crystal, computed with PBE.

Cell: 6.578 6.578 6.578 Å, 90.00 90.00 90.00°
Space group Pm-3m (No. 221)
Inequivalent atoms, fractional coordinates:
Cs 0.000 0.000 0.000 x1
Mg 0.000 0.000 0.500 x3
Rh 0.500 0.500 0.500 x1

- Formation energy: 1.932 eV/atom
- Total energy: -0.6657 eV/atom
- Energy above the lowest structure with this stoichiometry: 9.71 eV/f.u.